[1]
DFT (GGA-PBE) results for an optimized crystal structure of YSb3Cl.

Unit cell a=5.762 b=5.762 c=5.762 alpha=90.00 beta=90.00 gamma=90.00
Atoms (fractional coordinates):
Y  0.000  0.000  0.000
Sb  0.000  0.000  0.500
Sb  0.000  0.500  0.000
Sb  0.500  0.000  0.000
Cl  0.500  0.500  0.500

Output
The value obtained for the energy relative to the lowest polymorph listed for this composition is 0.066 eV/atom. Its space-group type is Pm-3m (221).

---

[2]
DFT (GGA-PBE) results for an optimized crystal structure of YSbCl6.

Unit cell a=7.155 b=7.155 c=6.648 alpha=97.51 beta=97.51 gamma=124.63
Atoms (fractional coordinates):
Y  0.000  0.000  0.000
Sb  0.500  0.500  0.500
Cl  0.108  0.390  0.249
Cl  0.249  0.249  0.750
Cl  0.390  0.108  0.249
Cl  0.610  0.892  0.751
Cl  0.751  0.751  0.250
Cl  0.892  0.610  0.751

Output
The value obtained for the energy relative to the lowest polymorph listed for this composition is 0.000 eV/atom. Its space-group type is C2/m (12).

---

[3]
DFT (GGA-PBE) results for an optimized crystal structure of YSbCl2.

Unit cell a=4.626 b=4.482 c=5.237 alpha=90.00 beta=106.92 gamma=90.00
Atoms (fractional coordinates):
Y  0.000  0.000  0.000
Sb  0.556  0.500  0.137
Cl  0.185  0.000  0.540
Cl  0.725  0.500  0.665

Output
The value obtained for the energy relative to the lowest polymorph listed for this composition is 0.059 eV/atom. Its space-group type is Pm (6).

---

[4]
DFT (GGA-PBE) results for an optimized crystal structure of YSbCl.

Unit cell a=5.068 b=5.068 c=5.068 alpha=60.00 beta=60.00 gamma=60.00
Atoms (fractional coordinates):
Y  0.000  0.000  0.000
Sb  0.250  0.250  0.250
Cl  0.750  0.750  0.750

Output
The value obtained for the energy relative to the lowest polymorph listed for this composition is 0.336 eV/atom. Its space-group type is F-43m (216).

---

[5]
DFT (GGA-PBE) results for an optimized crystal structure of YSbCl.

Unit cell a=7.999 b=7.997 c=3.380 alpha=77.84 beta=77.76 gamma=24.40
Atoms (fractional coordinates):
Y  0.000  0.000  0.000
Sb  0.648  0.648  0.352
Cl  0.396  0.396  0.604

Output
The value obtained for the energy relative to the lowest polymorph listed for this composition is 0.004 eV/atom. Its space-group type is Fmm2 (42).

---

[6]
DFT (GGA-PBE) results for an optimized crystal structure of YSbCl2.

Unit cell a=4.544 b=4.544 c=4.745 alpha=90.00 beta=90.00 gamma=90.00
Atoms (fractional coordinates):
Y  0.000  0.000  0.000
Sb  0.500  0.500  0.000
Cl  0.000  0.500  0.500
Cl  0.500  0.000  0.500

Output
The value obtained for the energy relative to the lowest polymorph listed for this composition is 0.448 eV/atom. Its space-group type is P4/mmm (123).

---

[7]
DFT (GGA-PBE) results for an optimized crystal structure of YSbCl2.

Unit cell a=10.182 b=10.182 c=10.182 alpha=153.84 beta=153.84 gamma=37.33
Atoms (fractional coordinates):
Y  0.000  0.000  0.000
Y  0.750  0.250  0.500
Sb  0.250  0.750  0.500
Sb  0.500  0.500  0.000
Cl  0.106  0.625  0.981
Cl  0.375  0.356  0.481
Cl  0.644  0.125  0.019
Cl  0.875  0.894  0.519

Output
The value obtained for the energy relative to the lowest polymorph listed for this composition is 0.213 eV/atom. Its space-group type is I-42d (122).

---

[8]
DFT (GGA-PBE) results for an optimized crystal structure of YSbCl2.

Unit cell a=8.928 b=8.928 c=8.928 alpha=158.31 beta=148.45 gamma=38.61
Atoms (fractional coordinates):
Y  0.000  0.000  0.000
Sb  0.166  0.666  0.500
Cl  0.512  0.512  0.000
Cl  0.878  0.378  0.500

Output
The value obtained for the energy relative to the lowest polymorph listed for this composition is 0.182 eV/atom. Its space-group type is Imm2 (44).

---

[9]
DFT (GGA-PBE) results for an optimized crystal structure of YSbCl2.

Unit cell a=3.734 b=3.734 c=7.351 alpha=90.00 beta=90.00 gamma=90.00
Atoms (fractional coordinates):
Y  0.000  0.000  0.000
Sb  0.500  0.500  0.673
Cl  0.000  0.000  0.358
Cl  0.500  0.500  0.119

Output
The value obtained for the energy relative to the lowest polymorph listed for this composition is 0.247 eV/atom. Its space-group type is P4mm (99).

---

[10]
DFT (GGA-PBE) results for an optimized crystal structure of Y3SbCl.

Unit cell a=5.124 b=5.124 c=5.124 alpha=90.00 beta=90.00 gamma=90.00
Atoms (fractional coordinates):
Y  0.000  0.000  0.500
Y  0.000  0.500  0.000
Y  0.500  0.000  0.000
Sb  0.500  0.500  0.500
Cl  0.000  0.000  0.000

Output
The value obtained for the energy relative to the lowest polymorph listed for this composition is 0.000 eV/atom. Its space-group type is Pm-3m (221).

---

[11]
DFT (GGA-PBE) results for an optimized crystal structure of YSbCl3.

Unit cell a=5.479 b=5.479 c=5.479 alpha=90.00 beta=90.00 gamma=90.00
Atoms (fractional coordinates):
Y  0.000  0.000  0.000
Sb  0.500  0.500  0.500
Cl  0.000  0.500  0.500
Cl  0.500  0.000  0.500
Cl  0.500  0.500  0.000

Output
The value obtained for the energy relative to the lowest polymorph listed for this composition is 1.006 eV/atom. Its space-group type is Pm-3m (221).

---

[12]
DFT (GGA-PBE) results for an optimized crystal structure of YSbCl2.

Unit cell a=5.244 b=5.244 c=5.244 alpha=60.00 beta=60.00 gamma=60.00
Atoms (fractional coordinates):
Y  0.000  0.000  0.000
Sb  0.750  0.750  0.750
Cl  0.250  0.250  0.250
Cl  0.500  0.500  0.500

Output
The value obtained for the energy relative to the lowest polymorph listed for this composition is 0.663 eV/atom. Its space-group type is F-43m (216).

---

In μB/cell, the total magnetization values for the records above are, in order, 0.0 0.0 0.0 0.7 0.0 0.0 0.0 0.0 0.0 0.0 1.7 2.0.
In states/eV/f.u., the DOS(E_F) values for the records above are, in order, 3.31 0.00 0.18 4.73 1.36 1.20 0.09 2.84 1.19 8.29 8.03 4.52.
In eV per atom, the total DFT energy (no corrections) values for the records above are, in order, -3.89 -4.23 -4.83 -4.97 -5.30 -4.44 -4.68 -4.71 -4.65 -5.64 -3.39 -4.23.